Below is a geometry-optimized BaMg2RuPb structure, with properties calculated at the GGA-PBE level.

The formation energy from the elements comes out at -0.14 eV per atom. The volume comes out at 28.2 Å³ per atom. As for the theoretical density: 5.83 g/cm³. The total DFT energy (no corrections) comes out at -3.756 eV/atom. The total magnetization is 0.00 μB/cell. The density of states at the Fermi level is 2.87 states/eV per cell.

```
BaMg2RuPb
1.0
5.1709 0.0000 0.0000
0.0000 5.1709 0.0000
0.0000 0.0000 5.2656
Mg Ru Ba Pb
2 1 1 1
direct
0.5000 0.0000 0.0000
0.0000 0.5000 0.0000
0.0000 0.0000 0.0000
0.5000 0.5000 0.5000
0.0000 0.0000 0.5000
```